Density functional theory data (PBE with a Hubbard U) for a geometry-optimized FeSbO4 structure.

Output
**SG**: Cmmm (65)
**Total magnetization**: 10.0 μB per cell
**DFT total energy**: -6.3902 eV/atom

a b c (Å): 6.529 6.790 3.116
angles (deg): 90.00 90.00 90.00
Sites, in units of the cell vectors:
Fe: 0.000 0.000 0.000
Fe: 0.500 0.500 0.000
Sb: 0.000 0.500 0.500
Sb: 0.500 0.000 0.500
O: 0.000 0.308 0.000
O: 0.000 0.692 0.000
O: 0.196 0.000 0.500
O: 0.304 0.500 0.500
O: 0.500 0.192 0.000
O: 0.500 0.808 0.000
O: 0.696 0.500 0.500
O: 0.804 0.000 0.500